No. 1
Compound: LaAl2W
Source: the Alexandria database
Functional: PBEsol
Structure: relaxed

a b c (Å): 4.731 4.731 4.731
angles (deg): 60.00 60.00 60.00
Fractional coordinates of all 4 atoms:
W  0.750  0.750  0.750
Al  0.000  0.000  0.000
Al  0.250  0.250  0.250
La  0.500  0.500  0.500

Summary:
Excess energy over the best structure of this formula in the dataset ... 208 meV/atom
Total energy ... -6.447 eV per atom
Mass density ... 8.35 Mg/m³



No. 2
Compound: LaAlW
Source: the Alexandria database
Functional: PBEsol
Structure: relaxed

a b c (Å): 2.950 2.950 7.908
angles (deg): 90.00 90.00 120.00
Fractional coordinates of all 3 atoms:
Al  0.000  0.000  0.031
W  0.667  0.333  0.304
La  0.333  0.667  0.665

Summary:
Excess energy over the best structure of this formula in the dataset ... 141 meV/atom
Total energy ... -7.282 eV per atom
Mass density ... 9.74 Mg/m³



No. 3
Compound: LaAl4W
Source: the Alexandria database
Functional: PBEsol
Structure: relaxed

a b c (Å): 5.344 5.344 5.344
angles (deg): 60.00 60.00 60.00
Fractional coordinates of all 6 atoms:
Al  0.877  0.374  0.374
La  0.750  0.750  0.750
W  0.000  0.000  0.000
Al  0.374  0.374  0.374
Al  0.374  0.877  0.374
Al  0.374  0.374  0.877

Summary:
Total energy ... -5.885 eV per atom
Mass density ... 6.63 Mg/m³



No. 4
Compound: LaAlW2
Source: the Alexandria database
Functional: PBEsol
Structure: relaxed

a b c (Å): 2.849 5.481 5.548
angles (deg): 117.88 101.88 95.90
Fractional coordinates of all 4 atoms:
W  0.500  0.500  0.500
Al  0.500  0.000  0.000
La  0.000  0.500  0.000
W  0.000  0.000  0.500

Summary:
Total energy ... -8.615 eV per atom
Mass density ... 12.15 Mg/m³